First-principles (PBE) data for a geometry-optimized Cs6Rb23Na structure, as listed in Alexandria.

Output
The uncorrected energy is -0.034 Ha/atom. The crystal system is cubic. The formation energy is 0.0240 eV/atom.

Cell: 16.0013 16.0013 16.0013 Å, 60.00 60.00 60.00°
Sites, in units of the cell vectors:
1 Cs 0.7012 0.7012 0.2988
2 Cs 0.2988 0.2988 0.7012
3 Cs 0.7012 0.2988 0.2988
4 Cs 0.2988 0.7012 0.7012
5 Cs 0.7012 0.2988 0.7012
6 Cs 0.2988 0.7012 0.2988
7 Rb 0.6441 0.1186 0.1186
8 Rb 0.3559 0.8814 0.8814
9 Rb 0.1186 0.1186 0.6441
10 Rb 0.1186 0.1186 0.1186
11 Rb 0.8814 0.8814 0.3559
12 Rb 0.8814 0.8814 0.8814
13 Rb 0.1186 0.6441 0.1186
14 Rb 0.8814 0.3559 0.8814
15 Rb 0.5000 0.5000 0.0000
16 Rb 0.0000 0.0000 0.5000
17 Rb 0.5000 0.0000 0.0000
18 Rb 0.0000 0.5000 0.5000
19 Rb 0.5000 0.0000 0.5000
20 Rb 0.0000 0.5000 0.0000
21 Rb 0.0004 0.3332 0.3332
22 Rb 0.9996 0.6668 0.6668
23 Rb 0.3332 0.3332 0.0004
24 Rb 0.3332 0.3332 0.3332
25 Rb 0.6668 0.6668 0.9996
26 Rb 0.6668 0.6668 0.6668
27 Rb 0.3332 0.0004 0.3332
28 Rb 0.6668 0.9996 0.6668
29 Rb 0.0000 0.0000 0.0000
30 Na 0.5000 0.5000 0.5000

=====

First-principles (PBE) data for a geometry-optimized NaMg2FeH8 structure, as listed in Alexandria.

Output
The uncorrected energy is -0.126 Ha/atom. The crystal system is trigonal.

Cell: 4.4425 4.4425 6.4129 Å, 90.00 90.00 120.00°
Sites, in units of the cell vectors:
1 Na 0.0000 0.0000 0.5000
2 Mg 0.6667 0.3333 0.1466
3 Mg 0.3333 0.6667 0.8534
4 Fe 0.0000 0.0000 0.0000
5 H 0.8336 0.6673 0.8594
6 H 0.3327 0.1664 0.8594
7 H 0.8336 0.1664 0.8594
8 H 0.1664 0.3327 0.1406
9 H 0.6673 0.8336 0.1406
10 H 0.1664 0.8336 0.1406
11 H 0.6667 0.3333 0.4354
12 H 0.3333 0.6667 0.5646

=====

uncorrected energy of number 1 (Cs6Rb23Na)?
-0.034 Ha/atom

=====

Repeat the second record exactly.
First-principles (PBE) data for a geometry-optimized NaMg2FeH8 structure, as listed in Alexandria.

Output
The uncorrected energy is -0.126 Ha/atom. The crystal system is trigonal.

Cell: 4.4425 4.4425 6.4129 Å, 90.00 90.00 120.00°
Sites, in units of the cell vectors:
1 Na 0.0000 0.0000 0.5000
2 Mg 0.6667 0.3333 0.1466
3 Mg 0.3333 0.6667 0.8534
4 Fe 0.0000 0.0000 0.0000
5 H 0.8336 0.6673 0.8594
6 H 0.3327 0.1664 0.8594
7 H 0.8336 0.1664 0.8594
8 H 0.1664 0.3327 0.1406
9 H 0.6673 0.8336 0.1406
10 H 0.1664 0.8336 0.1406
11 H 0.6667 0.3333 0.4354
12 H 0.3333 0.6667 0.5646

=====

Look up the uncorrected energy of the first one.
-0.034 Ha/atom